1.
Nd4Mg7Ge6 | meta-GGA SCAN | PBEsol geometry

The calculation puts the formation energy at -10.47 eV per formula unit. The electronic total energy comes out at -1.44465 Ry/atom. The calculation puts the density of states at the Fermi level at 0.378 states/eV per atom. Its crystal system is monoclinic.

The structure belongs to space group C2/m (No. 12); the cell edges are 16.4924, 4.3880 and 12.4225 Å and the angles 90.00°, 122.38° and 90.00°. The distinct sites, in fractional coordinates, are Nd at (0.1287, 0.0000, 0.3384), Nd at (0.2330, 0.0000, 0.1134), Mg at (0.0000, 0.0000, 0.0000), Mg at (0.0402, 0.5000, 0.6389), Mg at (0.0632, 0.5000, 0.8968), Mg at (0.1898, 0.0000, 0.6531), Ge at (0.1104, 0.0000, 0.8122), Ge at (0.1205, 0.5000, 0.1527) and Ge at (0.1505, 0.5000, 0.5223).

2.
Mg2GeO4 | meta-GGA SCAN | PBEsol geometry

As for the energy above the most stable polymorph in this dataset: 0.000 eV per atom. The electronic total energy comes out at -0.75682 Ry/atom. The calculation puts the density of states at the Fermi level at 0.000 states/eV per atom. Its crystal system is cubic. Its formation energy (no corrections) is -2.589 eV per atom.

The structure belongs to space group Fd-3m (No. 227, origin choice 2); the cell edges are 8.2682, 8.2682 and 8.2682 Å and the angles 90.00°, 90.00° and 90.00°. The distinct sites, in fractional coordinates, are Mg at (0.0000, 0.0000, 0.0000), Ge at (0.1250, 0.1250, 0.6250) and O at (0.9999, 0.9999, 0.2501).

3.
Mg2GeO4 | meta-GGA SCAN | PBEsol geometry

As for the energy above the most stable polymorph in this dataset: 0.023 eV per atom. The electronic total energy comes out at -0.75515 Ry/atom. The calculation puts the density of states at the Fermi level at 0.000 states/eV per atom. Its crystal system is orthorhombic. Its formation energy (no corrections) is -2.566 eV per atom.

The structure belongs to space group Pnma (No. 62); the cell edges are 10.3131, 6.0371 and 4.9273 Å and the angles 90.00°, 90.00° and 90.00°. The distinct sites, in fractional coordinates, are Mg at (0.0000, 0.0000, 0.0000), Mg at (0.2244, 0.2500, 0.4935), Ge at (0.0946, 0.7500, 0.4368), O at (0.0604, 0.2500, 0.7294), O at (0.0921, 0.7500, 0.7899) and O at (0.1649, 0.5208, 0.2662).